(1)
An optimized crystal structure of NaPuCu, computed with PBE.

a = 4.789 Å, b = 4.789 Å, c = 4.789 Å
α = 60.00°, β = 60.00°, γ = 60.00°
Fractional coordinates of all 3 atoms:
Na: 0.000 0.000 0.000
Pu: 0.500 0.500 0.500
Cu: 0.250 0.250 0.250

Results
- Magnetization: 6.054 Bohr magnetons per cell
- E_tot: -5.890 eV per atom
- Crystal system: cubic

---

(2)
An optimized crystal structure of HoGaB, computed with PBE.

a = 4.123 Å, b = 4.123 Å, c = 4.123 Å
α = 60.00°, β = 60.00°, γ = 60.00°
Fractional coordinates of all 3 atoms:
Ho: 0.000 0.000 0.000
Ga: 0.500 0.500 0.500
B: 0.750 0.750 0.750

Results
- Magnetization: 0.004 Bohr magnetons per cell
- E_tot: -4.920 eV per atom
- Crystal system: cubic

---

(3)
An optimized crystal structure of KScCoTe3, computed with PBE.

a = 8.336 Å, b = 8.336 Å, c = 10.855 Å
α = 90.00°, β = 90.00°, γ = 151.66°
Fractional coordinates of all 12 atoms:
K: 0.248 0.752 0.750
K: 0.752 0.248 0.250
Sc: 0.500 0.500 0.000
Sc: 0.500 0.500 0.500
Co: 0.029 0.971 0.250
Co: 0.971 0.029 0.750
Te: 0.124 0.876 0.061
Te: 0.124 0.876 0.439
Te: 0.432 0.568 0.250
Te: 0.568 0.432 0.750
Te: 0.876 0.124 0.561
Te: 0.876 0.124 0.939

Results
- Magnetization: 4.637 Bohr magnetons per cell
- Distance to the lowest polymorph of the same formula: 22 meV/atom
- E_tot: -4.766 eV per atom
- Crystal system: orthorhombic

---

(4)
An optimized crystal structure of Hg2Pd3O2, computed with PBE.

a = 5.623 Å, b = 5.623 Å, c = 5.623 Å
α = 61.03°, β = 61.03°, γ = 61.03°
Fractional coordinates of all 7 atoms:
Hg: 0.000 0.000 0.000
Hg: 0.500 0.500 0.500
Pd: 0.000 0.500 0.500
Pd: 0.500 0.000 0.500
Pd: 0.500 0.500 0.000
O: 0.246 0.246 0.246
O: 0.754 0.754 0.754

Results
- E_tot: -4.005 eV per atom
- Crystal system: trigonal

---

(5)
An optimized crystal structure of PrNdInCu2, computed with PBE.

a = 3.859 Å, b = 7.474 Å, c = 7.474 Å
α = 32.55°, β = 90.00°, γ = 90.00°
Fractional coordinates of all 5 atoms:
Pr: 0.000 0.000 0.000
Nd: 0.000 0.263 0.263
In: 0.500 0.632 0.632
Cu: 0.500 0.429 0.429
Cu: 0.500 0.832 0.832

Results
- Magnetization: 0.015 Bohr magnetons per cell
- E_tot: -4.264 eV per atom
- Crystal system: orthorhombic

---

(6)
An optimized crystal structure of DyErSn2Pt4, computed with PBE.

a = 4.553 Å, b = 4.553 Å, c = 9.063 Å
α = 90.00°, β = 90.00°, γ = 120.00°
Fractional coordinates of all 8 atoms:
Dy: 0.000 0.000 0.000
Er: 0.667 0.333 0.500
Sn: 0.333 0.667 0.251
Sn: 0.333 0.667 0.749
Pt: 0.000 0.000 0.342
Pt: 0.000 0.000 0.658
Pt: 0.667 0.333 0.161
Pt: 0.667 0.333 0.839

Results
- Magnetization: 0.006 Bohr magnetons per cell
- E_tot: -6.189 eV per atom
- Crystal system: hexagonal